A relaxed structure of Co3NiSe4, computed with PBE.

Geometry as POSCAR:
```
Co3NiSe4
1.0
5.2284 0.0000 0.0000
0.0000 5.2284 0.0000
0.0000 0.0000 5.2284
Co Ni Se
3 1 4
Direct
0.0000 0.0000 0.5000
0.0000 0.5000 0.0000
0.5000 0.0000 0.0000
0.0000 0.0000 0.0000
0.2625 0.2625 0.2625
0.2625 0.7375 0.7375
0.7375 0.2625 0.7375
0.7375 0.7375 0.2625
```

Its space-group type is P-43m, No. 215. Its total energy is -5.333 eV/atom.

A relaxed structure of CoNiSe6, computed with PBE.

Geometry as POSCAR:
```
CoNiSe6
1.0
5.8018 0.0000 0.0000
0.3556 5.8619 0.0000
2.8429 2.6743 4.6130
Co Ni Se
1 1 6
Direct
0.0000 0.0000 0.0000
0.5000 0.5000 0.0000
0.1878 0.4244 0.8688
0.2974 0.0869 0.5067
0.2998 0.8066 0.1561
0.7002 0.1934 0.8439
0.7026 0.9131 0.4933
0.8122 0.5756 0.1312
```

Its space-group type is P-1, No. 2. Its total energy is -4.357 eV/atom.

A relaxed structure of CoNiSe2, computed with PBE.

Geometry as POSCAR:
```
CoNiSe2
1.0
6.0879 0.0000 0.0000
0.0000 3.4826 0.0000
-1.9926 0.0000 5.7493
Co Ni Se
2 2 4
Direct
0.0000 0.0000 0.0000
0.5000 0.5000 0.0000
0.0000 0.5000 0.5000
0.5000 0.0000 0.5000
0.2469 0.5000 0.2413
0.2531 0.0000 0.7587
0.7469 0.0000 0.2413
0.7531 0.5000 0.7587
```

Its space-group type is C2/m, No. 12. Its total energy is -4.985 eV/atom.